An optimized crystal structure of Li2InP. Source: Alexandria via LeMat-Bulk, functional PBE.

Results
For the energy, the calculation gives -3.13 eV/atom.

Structure (CIF):
```
data_Li2InP
_cell_length_a 4.120
_cell_length_b 4.120
_cell_length_c 17.791
_cell_angle_alpha 90.00
_cell_angle_beta 90.00
_cell_angle_gamma 90.00
_space_group_name_H-M_alt 'I -4 2 d'
_space_group_IT_number 122
_space_group_name_Hall 'I -4 2bw'
loop_
_atom_site_label
_atom_site_type_symbol
_atom_site_fract_x
_atom_site_fract_y
_atom_site_fract_z
_atom_site_occupancy
Li1 Li 0.190 0.250 0.125 1
In1 In 0.000 0.000 0.500 1
P1 P 0.000 0.000 0.000 1
```

=====

An optimized crystal structure of Li3InP. Source: Alexandria via LeMat-Bulk, functional PBE.

Results
For the energy, the calculation gives -2.27 eV/atom.

Structure (CIF):
```
data_Li3InP
_cell_length_a 4.909
_cell_length_b 4.909
_cell_length_c 4.909
_cell_angle_alpha 90.00
_cell_angle_beta 90.00
_cell_angle_gamma 90.00
_space_group_name_H-M_alt 'P m -3 m'
_space_group_IT_number 221
_space_group_name_Hall '-P 4 2 3'
loop_
_atom_site_label
_atom_site_type_symbol
_atom_site_fract_x
_atom_site_fract_y
_atom_site_fract_z
_atom_site_occupancy
Li1 Li 0.000 0.000 0.500 1
In1 In 0.000 0.000 0.000 1
P1 P 0.500 0.500 0.500 1
```

=====

An optimized crystal structure of LiInP3. Source: Alexandria via LeMat-Bulk, functional PBE.

Results
For the energy, the calculation gives -3.51 eV/atom.

Structure (CIF):
```
data_LiInP3
_cell_length_a 4.518
_cell_length_b 4.518
_cell_length_c 4.518
_cell_angle_alpha 90.00
_cell_angle_beta 90.00
_cell_angle_gamma 90.00
_space_group_name_H-M_alt 'P m -3 m'
_space_group_IT_number 221
_space_group_name_Hall '-P 4 2 3'
loop_
_atom_site_label
_atom_site_type_symbol
_atom_site_fract_x
_atom_site_fract_y
_atom_site_fract_z
_atom_site_occupancy
Li1 Li 0.000 0.000 0.000 1
In1 In 0.500 0.500 0.500 1
P1 P 0.000 0.000 0.500 1
```

=====

An optimized crystal structure of LiInP. Source: Alexandria via LeMat-Bulk, functional PBE.

Results
For the energy, the calculation gives -3.41 eV/atom.

Structure (CIF):
```
data_LiInP
_cell_length_a 3.235
_cell_length_b 3.235
_cell_length_c 11.819
_cell_angle_alpha 90.00
_cell_angle_beta 90.00
_cell_angle_gamma 90.00
_space_group_name_H-M_alt 'I 4 m m'
_space_group_IT_number 107
_space_group_name_Hall 'I 4 -2'
loop_
_atom_site_label
_atom_site_type_symbol
_atom_site_fract_x
_atom_site_fract_y
_atom_site_fract_z
_atom_site_occupancy
Li1 Li 0.000 0.000 0.000 1
In1 In 0.000 0.000 0.272 1
P1 P 0.000 0.000 0.618 1
```

=====

An optimized crystal structure of Li2InP. Source: Alexandria via LeMat-Bulk, functional PBE.

Results
For the energy, the calculation gives -3.28 eV/atom.

Structure (CIF):
```
data_Li2InP
_cell_length_a 4.158
_cell_length_b 4.184
_cell_length_c 8.194
_cell_angle_alpha 90.00
_cell_angle_beta 90.00
_cell_angle_gamma 90.00
_space_group_name_H-M_alt 'C m m m'
_space_group_IT_number 65
_space_group_name_Hall '-C 2 2'
loop_
_atom_site_label
_atom_site_type_symbol
_atom_site_fract_x
_atom_site_fract_y
_atom_site_fract_z
_atom_site_occupancy
Li1 Li 0.000 0.000 0.192 1
In1 In 0.000 0.500 0.500 1
P1 P 0.000 0.500 0.000 1
```

=====

An optimized crystal structure of Li2InP2. Source: Alexandria via LeMat-Bulk, functional PBE.

Results
For the energy, the calculation gives -3.72 eV/atom.

Structure (CIF):
```
data_Li2InP2
_cell_length_a 7.834
_cell_length_b 7.834
_cell_length_c 2.725
_cell_angle_alpha 90.00
_cell_angle_beta 90.00
_cell_angle_gamma 90.00
_space_group_name_H-M_alt 'P 4/m b m'
_space_group_IT_number 127
_space_group_name_Hall '-P 4 2ab'
loop_
_atom_site_label
_atom_site_type_symbol
_atom_site_fract_x
_atom_site_fract_y
_atom_site_fract_z
_atom_site_occupancy
Li1 Li 0.124 0.376 0.000 1
In1 In 0.000 0.000 0.500 1
P1 P 0.171 0.671 0.500 1
```

=====

An optimized crystal structure of Li2InP. Source: Alexandria via LeMat-Bulk, functional PBE.

Results
For the energy, the calculation gives -3.13 eV/atom.

Structure (CIF):
```
data_Li2InP
_cell_length_a 6.734
_cell_length_b 6.734
_cell_length_c 6.734
_cell_angle_alpha 90.00
_cell_angle_beta 90.00
_cell_angle_gamma 90.00
_space_group_name_H-M_alt 'F -4 3 m'
_space_group_IT_number 216
_space_group_name_Hall 'F -4 2 3'
loop_
_atom_site_label
_atom_site_type_symbol
_atom_site_fract_x
_atom_site_fract_y
_atom_site_fract_z
_atom_site_occupancy
Li1 Li 0.000 0.000 0.000 1
Li2 Li 0.250 0.250 0.250 1
In1 In 0.000 0.000 0.500 1
P1 P 0.250 0.250 0.750 1
```

=====

An optimized crystal structure of LiInP. Source: Alexandria via LeMat-Bulk, functional PBE.

Results
For the energy, the calculation gives -3.46 eV/atom.

Structure (CIF):
```
data_LiInP
_cell_length_a 6.084
_cell_length_b 6.084
_cell_length_c 6.084
_cell_angle_alpha 90.00
_cell_angle_beta 90.00
_cell_angle_gamma 90.00
_space_group_name_H-M_alt 'F -4 3 m'
_space_group_IT_number 216
_space_group_name_Hall 'F -4 2 3'
loop_
_atom_site_label
_atom_site_type_symbol
_atom_site_fract_x
_atom_site_fract_y
_atom_site_fract_z
_atom_site_occupancy
Li1 Li 0.000 0.000 0.000 1
In1 In 0.250 0.250 0.750 1
P1 P 0.250 0.250 0.250 1
```

=====

An optimized crystal structure of LiIn3P. Source: Alexandria via LeMat-Bulk, functional PBE.

Results
For the energy, the calculation gives -2.83 eV/atom.

Structure (CIF):
```
data_LiIn3P
_cell_length_a 5.280
_cell_length_b 5.280
_cell_length_c 5.280
_cell_angle_alpha 90.00
_cell_angle_beta 90.00
_cell_angle_gamma 90.00
_space_group_name_H-M_alt 'P m -3 m'
_space_group_IT_number 221
_space_group_name_Hall '-P 4 2 3'
loop_
_atom_site_label
_atom_site_type_symbol
_atom_site_fract_x
_atom_site_fract_y
_atom_site_fract_z
_atom_site_occupancy
Li1 Li 0.000 0.000 0.000 1
In1 In 0.000 0.500 0.500 1
P1 P 0.500 0.500 0.500 1
```

=====

An optimized crystal structure of Li2InP. Source: Alexandria via LeMat-Bulk, functional PBE.

Results
For the energy, the calculation gives -3.27 eV/atom.

Structure (CIF):
```
data_Li2InP
_cell_length_a 13.061
_cell_length_b 2.900
_cell_length_c 4.304
_cell_angle_alpha 90.00
_cell_angle_beta 109.13
_cell_angle_gamma 90.00
_space_group_name_H-M_alt 'C 1 m 1'
_space_group_IT_number 8
loop_
_space_group_symop_operation_xyz
'x,y,z'
'x,-y,z'
'x+1/2,y+1/2,z'
'x+1/2,-y+1/2,z'
loop_
_atom_site_label
_atom_site_type_symbol
_atom_site_fract_x
_atom_site_fract_y
_atom_site_fract_z
_atom_site_occupancy
Li1 Li 0.000 0.000 0.000 1
Li2 Li 0.186 0.000 0.688 1
In1 In 0.314 0.500 0.317 1
P1 P 0.015 0.500 0.514 1
```

=====

An optimized crystal structure of LiInP. Source: Alexandria via LeMat-Bulk, functional PBE.

Results
For the energy, the calculation gives -3.66 eV/atom.

Structure (CIF):
```
data_LiInP
_cell_length_a 3.987
_cell_length_b 5.234
_cell_length_c 6.442
_cell_angle_alpha 75.54
_cell_angle_beta 80.62
_cell_angle_gamma 76.92
_space_group_name_H-M_alt 'P -1'
_space_group_IT_number 2
loop_
_space_group_symop_operation_xyz
'x,y,z'
'-x,-y,-z'
loop_
_atom_site_label
_atom_site_type_symbol
_atom_site_fract_x
_atom_site_fract_y
_atom_site_fract_z
_atom_site_occupancy
Li1 Li 0.221 0.192 0.401 1
In1 In 0.063 0.269 0.903 1
P1 P 0.385 0.689 0.385 1
```

=====

An optimized crystal structure of Li2InP. Source: Alexandria via LeMat-Bulk, functional PBE.

Results
For the energy, the calculation gives -3.34 eV/atom.

Structure (CIF):
```
data_Li2InP
_cell_length_a 4.2347
_cell_length_b 4.2347
_cell_length_c 14.8727
_cell_angle_alpha 90.00
_cell_angle_beta 90.00
_cell_angle_gamma 120.00
_space_group_name_H-M_alt 'R 3 m'
_space_group_IT_number 160
_space_group_name_Hall 'R 3 -2"'
loop_
_atom_site_label
_atom_site_type_symbol
_atom_site_fract_x
_atom_site_fract_y
_atom_site_fract_z
_atom_site_occupancy
Li1 Li 0.0000 0.0000 0.0000 1
Li2 Li 0.0000 0.0000 0.2526 1
In1 In 0.0000 0.0000 0.7980 1
P1 P 0.0000 0.0000 0.6189 1
```

=====

An optimized crystal structure of Li2In2PPd4. Source: Alexandria via LeMat-Bulk, functional PBE.

Results
For the energy, the calculation gives -4.39 eV/atom.

Structure (CIF):
```
data_Li2In2PPd4
_cell_length_a 6.105
_cell_length_b 6.105
_cell_length_c 8.002
_cell_angle_alpha 90.00
_cell_angle_beta 90.00
_cell_angle_gamma 90.00
_space_group_name_H-M_alt 'I 4/m m m'
_space_group_IT_number 139
_space_group_name_Hall '-I 4 2'
loop_
_atom_site_label
_atom_site_type_symbol
_atom_site_fract_x
_atom_site_fract_y
_atom_site_fract_z
_atom_site_occupancy
Li1 Li 0.000 0.000 0.210 1
In1 In 0.000 0.500 0.250 1
P1 P 0.000 0.000 0.500 1
Pd1 Pd 0.235 0.235 0.000 1
```